# 1
Material: SbH2Pd3
Method: DFT, PBE
State: relaxed

Values from the calculation:
As for the volume: 13.19 A^3/atom. For the density of states at the Fermi level, the calculation gives 0.39 states/eV/atom. As for the theoretical density: 9.30 g/cm3. The calculation puts the total energy at -4.538 eV/atom. As for the space-group type: C2/m.

Unit cell a=7.495 b=7.495 c=6.741 alpha=91.22 beta=91.22 gamma=24.71
Fractional positions:
Sb 0.149 0.149 0.490
Sb 0.851 0.851 0.510
H 0.179 0.179 0.964
H 0.489 0.489 0.241
H 0.511 0.511 0.759
H 0.821 0.821 0.036
Pd 0.061 0.061 0.835
Pd 0.272 0.272 0.178
Pd 0.395 0.395 0.820
Pd 0.605 0.605 0.180
Pd 0.728 0.728 0.822
Pd 0.939 0.939 0.165

# 2
Material: Pr2NdErTm
Method: DFT, PBE
State: relaxed

Values from the calculation:
As for the volume: 36.28 A^3/atom. For the density of states at the Fermi level, the calculation gives 1.35 states/eV/atom. As for the theoretical density: 6.98 g/cm3. The calculation puts the total energy at -4.280 eV/atom. As for the space-group type: Cmcm.

Unit cell a=7.198 b=7.198 c=7.345 alpha=90.00 beta=90.00 gamma=107.58
Fractional positions:
Pr 0.195 0.195 0.000
Pr 0.195 0.195 0.500
Pr 0.805 0.805 0.000
Pr 0.805 0.805 0.500
Nd 0.227 0.773 0.750
Nd 0.773 0.227 0.250
Er 0.231 0.769 0.250
Er 0.769 0.231 0.750
Tm 0.494 0.506 0.750
Tm 0.506 0.494 0.250

# 3
Material: Ac3DyIr
Method: DFT, PBE
State: relaxed

Values from the calculation:
As for the volume: 40.60 A^3/atom. For the density of states at the Fermi level, the calculation gives 1.60 states/eV/atom. As for the theoretical density: 8.47 g/cm3. The calculation puts the total energy at -5.323 eV/atom. As for the space-group type: Pm-3m.

Unit cell a=5.877 b=5.877 c=5.877 alpha=90.00 beta=90.00 gamma=90.00
Fractional positions:
Ac 0.000 0.000 0.500
Ac 0.000 0.500 0.000
Ac 0.500 0.000 0.000
Dy 0.500 0.500 0.500
Ir 0.000 0.000 0.000

# 4
Material: Ca2Cu
Method: DFT, PBE
State: relaxed

Values from the calculation:
As for the volume: 31.38 A^3/atom. For the density of states at the Fermi level, the calculation gives 0.86 states/eV/atom. As for the theoretical density: 2.53 g/cm3. The calculation puts the total energy at -2.649 eV/atom. As for the space-group type: R3m.

Unit cell a=7.437 b=7.437 c=7.437 alpha=30.54 beta=30.54 gamma=30.54
Fractional positions:
Ca 0.000 0.000 0.000
Ca 0.180 0.180 0.180
Cu 0.757 0.757 0.757

# 5
Material: NaSrCr2Cl8
Method: DFT, PBE
State: relaxed

Values from the calculation:
For the raw formation energy, the calculation gives -1390 meV/atom. As for the volume: 29.77 A^3/atom. For the density of states at the Fermi level, the calculation gives 0.65 states/eV/atom. As for the theoretical density: 2.32 g/cm3. The calculation puts the total energy at -4.475 eV/atom. As for the space-group type: I-4m2.

Unit cell a=7.764 b=7.764 c=7.764 alpha=106.53 beta=106.53 gamma=115.53
Fractional positions:
Na 0.000 0.000 0.000
Sr 0.250 0.750 0.500
Cr 0.500 0.500 0.000
Cr 0.750 0.250 0.500
Cl 0.309 0.130 0.822
Cl 0.309 0.487 0.178
Cl 0.383 0.060 0.323
Cl 0.513 0.691 0.822
Cl 0.737 0.060 0.677
Cl 0.870 0.691 0.178
Cl 0.940 0.263 0.323
Cl 0.940 0.617 0.677

# 6
Material: LiEr3Al8
Method: DFT, PBE
State: relaxed

Values from the calculation:
As for the volume: 19.57 A^3/atom. For the density of states at the Fermi level, the calculation gives 0.55 states/eV/atom. As for the theoretical density: 5.12 g/cm3. The calculation puts the total energy at -4.186 eV/atom. As for the space-group type: R3m.

Unit cell a=9.528 b=9.528 c=9.528 alpha=33.51 beta=33.51 gamma=33.51
Fractional positions:
Li 0.000 0.000 0.000
Er 0.123 0.123 0.123
Er 0.500 0.500 0.500
Er 0.628 0.628 0.628
Al 0.064 0.064 0.562
Al 0.064 0.562 0.064
Al 0.065 0.563 0.563
Al 0.313 0.313 0.313
Al 0.562 0.064 0.064
Al 0.563 0.065 0.563
Al 0.563 0.563 0.065
Al 0.813 0.813 0.813

# 7
Material: NpBi
Method: DFT, PBE
State: relaxed

Values from the calculation:
As for the volume: 27.48 A^3/atom. For the polymorph energy (0 for the lowest one), the calculation gives 0.0 meV per atom. For the density of states at the Fermi level, the calculation gives 2.03 states/eV/atom. As for the theoretical density: 13.48 g/cm3. The calculation puts the total energy at -8.401 eV/atom. As for the space-group type: P2_1/m.

Unit cell a=3.548 b=3.598 c=8.612 alpha=90.00 beta=90.62 gamma=90.00
Fractional positions:
Np 0.164 0.250 0.064
Np 0.836 0.750 0.936
Bi 0.322 0.250 0.685
Bi 0.678 0.750 0.315

# 8
Material: ZrAl2Cu
Method: DFT, PBE
State: relaxed

Values from the calculation:
As for the volume: 17.84 A^3/atom. For the density of states at the Fermi level, the calculation gives 0.38 states/eV/atom. As for the theoretical density: 4.86 g/cm3. The calculation puts the total energy at -5.141 eV/atom. As for the space-group type: P-3m1.

Unit cell a=4.191 b=4.191 c=9.382 alpha=90.00 beta=90.00 gamma=120.00
Fractional positions:
Zr 0.333 0.667 0.393
Zr 0.667 0.333 0.607
Al 0.333 0.667 0.082
Al 0.333 0.667 0.775
Al 0.667 0.333 0.225
Al 0.667 0.333 0.918
Cu 0.000 0.000 0.226
Cu 0.000 0.000 0.774